Cs3AcBi2O6: optimized geometry, PBE.

Calculated values
DOS at the Fermi energy: 0.0000 states/eV/atom
size of the total moment: 0.000 μB/atom
uncorrected formation energy: -1.78 eV per atom

Cell lengths 6.6845, 6.6845, 8.0574 Å; angles 90.00, 90.00, 120.00 degrees
Space group P-3m1 (No. 164)
Unique sites:
1 Cs 0.0000 0.0000 0.0000
2 Cs 0.3333 0.6667 0.6519
3 Ac 0.0000 0.0000 0.5000
4 Bi 0.3333 0.6667 0.1933
5 O 0.1741 0.3483 0.3157